The following is a DFT calculation (PBE+U) of a geometry-optimized Mo3PF structure.

Output
Spin magnetization   3.46 Bohr magnetons per cell
Energy above the lowest structure with this stoichiometry   0 meV/atom
Symmetry   Pm-3m, No. 221

abc: 4.2620 4.2620 4.2620
angles: 90.00 90.00 90.00
Closest atoms and distances in Å follow each position.
Sites, in units of the cell vectors:
Mo1 0.0000 0.0000 0.5000  2 F 2.13
Mo2 0.0000 0.5000 0.0000  2 F 2.13
Mo3 0.5000 0.0000 0.0000  2 F 2.13
P1 0.5000 0.5000 0.5000  12 Mo 3.01
F1 0.0000 0.0000 0.0000  6 Mo 2.13